i | Here is a relaxed structure of ScNb3F from Alexandria via LeMat-Bulk. Energies are from GGA-PBE.

a b c (Å): 4.8270 4.8270 4.8270
angles (deg): 90.00 90.00 90.00
Closest atoms and distances in Å follow each position.
Fractional positions:
1 Sc 0.0000 0.0000 0.0000  6 Nb 2.41
2 Nb 0.0000 0.0000 0.5000  2 Sc 2.41
3 Nb 0.0000 0.5000 0.0000  2 Sc 2.41
4 Nb 0.5000 0.0000 0.0000  2 Sc 2.41
5 F 0.5000 0.5000 0.5000  12 Nb 3.41

As for the crystal system: cubic. The calculation puts the magnetic moment at 0.00 μB/f.u. The value obtained for the volume is 112 Å³ per cell.


ii | Here is a relaxed structure of ScNb3F from Alexandria via LeMat-Bulk. Energies are from GGA-PBE.

a b c (Å): 4.4269 4.4269 4.4269
angles (deg): 90.00 90.00 90.00
Closest atoms and distances in Å follow each position.
Fractional positions:
1 Sc 0.0000 0.0000 0.0000  12 Nb 3.13
2 Nb 0.0000 0.5000 0.5000  2 F 2.21
3 Nb 0.5000 0.0000 0.5000  2 F 2.21
4 Nb 0.5000 0.5000 0.0000  2 F 2.21
5 F 0.5000 0.5000 0.5000  6 Nb 2.21

As for the crystal system: cubic. The calculation puts the magnetic moment at 0.00 μB/f.u. The value obtained for the volume is 87 Å³ per cell.


ii wins, 1805 meV per atom ahead of the next structure.